Entry from Alexandria: Na3NiBi2O6 after structural relaxation (PBE with a Hubbard U).

Results
* D(E_F): 6.28 states/eV/cell
* spin magnetization: 2.9 μB/f.u.
* VASP energy: -59.1 eV per cell
* crystal system: monoclinic

Cell lengths 5.836, 5.836, 5.921 Å; angles 99.24, 99.24, 120.16 degrees
Site moments in Bohr magnetons follow the coordinates.
Atoms (fractional coordinates):
Na1 0.843 0.157 0.500  0.00
Na2 0.500 0.500 0.500  0.00
Na3 0.157 0.843 0.500  0.00
O1 0.614 0.927 0.779  0.14
O2 0.243 0.243 0.785  0.14
O3 0.073 0.386 0.221  0.14
O4 0.386 0.073 0.221  0.14
O5 0.927 0.614 0.779  0.14
O6 0.757 0.757 0.215  0.14
Bi1 0.333 0.667 0.000  0.05
Bi2 0.667 0.333 0.000  0.05
Ni1 0.000 0.000 0.000  1.77